Entry 1:
# PBE-GGA RbCuSnTe2, relaxed
data_RbCuSnTe2
_chemical_formula_sum 'Rb2 Cu2 Sn2 Te4'
_cell_length_a 8.834
_cell_length_b 5.223
_cell_length_c 8.531
_cell_angle_alpha 90.00
_cell_angle_beta 110.03
_cell_angle_gamma 90.00
_symmetry_space_group_name_H-M 'P 1 2/c 1'
_symmetry_Int_Tables_number 13
loop_
_symmetry_equiv_pos_as_xyz
'x,y,z'
'-x,-y,-z'
'-x,y,-z+1/2'
'x,-y,z+1/2'
loop_
_atom_site_label
_atom_site_type_symbol
_atom_site_fract_x
_atom_site_fract_y
_atom_site_fract_z
Rb1 Rb 0.000 0.221 0.250
Cu1 Cu 0.500 0.000 0.000
Sn1 Sn 0.500 0.353 0.750
Te1 Te 0.276 0.281 0.007
# Energy relative to the elements, uncorrected: -424.9 meV/atom

=====

Entry 2:
# PBE-GGA NbGaFe2N, relaxed
data_NbGaFe2N
_chemical_formula_sum 'Nb1 Ga1 Fe2 N1'
_cell_length_a 3.850
_cell_length_b 3.850
_cell_length_c 4.263
_cell_angle_alpha 90.00
_cell_angle_beta 90.00
_cell_angle_gamma 90.00
_symmetry_space_group_name_H-M 'P 4/m m m'
_symmetry_Int_Tables_number 123
_symmetry_space_group_name_Hall '-P 4 2'
loop_
_atom_site_label
_atom_site_type_symbol
_atom_site_fract_x
_atom_site_fract_y
_atom_site_fract_z
Nb1 Nb 0.000 0.000 0.000
Ga1 Ga 0.500 0.500 0.000
Fe1 Fe 0.000 0.500 0.500
N1 N 0.000 0.000 0.500
# Energy relative to the elements, uncorrected: -322.8 meV/atom

=====

Entry 3:
# PBE-GGA Al7Zn3Ga, relaxed
data_Al7Zn3Ga
_chemical_formula_sum 'Al14 Zn6 Ga2'
_cell_length_a 9.287
_cell_length_b 9.841
_cell_length_c 5.088
_cell_angle_alpha 90.00
_cell_angle_beta 121.63
_cell_angle_gamma 90.00
_symmetry_space_group_name_H-M 'C 1 2/m 1'
_symmetry_Int_Tables_number 12
loop_
_symmetry_equiv_pos_as_xyz
'x,y,z'
'-x,-y,-z'
'-x,y,-z'
'x,-y,z'
'x+1/2,y+1/2,z'
'-x+1/2,-y+1/2,-z'
'-x+1/2,y+1/2,-z'
'x+1/2,-y+1/2,z'
loop_
_atom_site_label
_atom_site_type_symbol
_atom_site_fract_x
_atom_site_fract_y
_atom_site_fract_z
Al1 Al 0.000 0.000 0.000
Al2 Al 0.175 0.271 0.676
Al3 Al 0.179 0.500 0.098
Zn1 Zn 0.000 0.270 0.000
Zn2 Zn 0.000 0.500 0.500
Ga1 Ga 0.000 0.000 0.500
# Calculated formation energy: 1.88 eV per formula unit

=====

Entry 4:
# PBE-GGA BaSrAs2, relaxed
data_BaSrAs2
_chemical_formula_sum 'Ba4 Sr4 As8'
_cell_length_a 8.604
_cell_length_b 8.604
_cell_length_c 7.055
_cell_angle_alpha 90.00
_cell_angle_beta 90.00
_cell_angle_gamma 90.00
_symmetry_space_group_name_H-M 'I -4 2 d'
_symmetry_Int_Tables_number 122
_symmetry_space_group_name_Hall 'I -4 2bw'
loop_
_atom_site_label
_atom_site_type_symbol
_atom_site_fract_x
_atom_site_fract_y
_atom_site_fract_z
Ba1 Ba 0.000 0.000 0.000
Sr1 Sr 0.000 0.000 0.500
As1 As 0.235 0.250 0.625
# Calculated formation energy: -2.70 eV per formula unit

=====

Entry 5:
# PBE-GGA Sc4Cu2PdPt, relaxed
data_Sc4Cu2PdPt
_chemical_formula_sum 'Sc12 Cu6 Pd3 Pt3'
_cell_length_a 4.6442
_cell_length_b 4.6442
_cell_length_c 22.7831
_cell_angle_alpha 90.00
_cell_angle_beta 90.00
_cell_angle_gamma 120.00
_symmetry_space_group_name_H-M 'R -3 m'
_symmetry_Int_Tables_number 166
_symmetry_space_group_name_Hall '-R 3 2"'
loop_
_atom_site_label
_atom_site_type_symbol
_atom_site_fract_x
_atom_site_fract_y
_atom_site_fract_z
Sc1 Sc 0.0000 0.0000 0.1242
Sc2 Sc 0.0000 0.0000 0.3743
Cu1 Cu 0.0000 0.0000 0.2492
Pd1 Pd 0.0000 0.0000 0.5000
Pt1 Pt 0.0000 0.0000 0.0000
# Calculated formation energy: -5.60 eV per formula unit

=====

Entry 6:
# PBE-GGA MgTiN3, relaxed
data_MgTiN3
_chemical_formula_sum 'Mg1 Ti1 N3'
_cell_length_a 3.787
_cell_length_b 3.787
_cell_length_c 3.787
_cell_angle_alpha 90.00
_cell_angle_beta 90.00
_cell_angle_gamma 90.00
_symmetry_space_group_name_H-M 'P m -3 m'
_symmetry_Int_Tables_number 221
_symmetry_space_group_name_Hall '-P 4 2 3'
loop_
_atom_site_label
_atom_site_type_symbol
_atom_site_fract_x
_atom_site_fract_y
_atom_site_fract_z
Mg1 Mg 0.000 0.000 0.000
Ti1 Ti 0.500 0.500 0.500
N1 N 0.000 0.000 0.500
# Energy relative to the elements, uncorrected: 1171.4 meV/atom

=====

Entry 7:
# PBE-GGA Ta2Nb, relaxed
data_Ta2Nb
_chemical_formula_sum 'Ta4 Nb2'
_cell_length_a 3.306
_cell_length_b 3.306
_cell_length_c 10.012
_cell_angle_alpha 90.00
_cell_angle_beta 90.00
_cell_angle_gamma 90.00
_symmetry_space_group_name_H-M 'I 4/m m m'
_symmetry_Int_Tables_number 139
_symmetry_space_group_name_Hall '-I 4 2'
loop_
_atom_site_label
_atom_site_type_symbol
_atom_site_fract_x
_atom_site_fract_y
_atom_site_fract_z
Ta1 Ta 0.000 0.000 0.165
Nb1 Nb 0.000 0.000 0.500
# Calculated formation energy: -0.03 eV per formula unit

=====

Entry 8:
# PBE-GGA La6SmHo2Th, relaxed
data_La6SmHo2Th
_chemical_formula_sum 'La24 Sm4 Ho8 Th4'
_cell_length_a 9.365
_cell_length_b 15.141
_cell_length_c 10.138
_cell_angle_alpha 90.00
_cell_angle_beta 101.12
_cell_angle_gamma 90.00
_symmetry_space_group_name_H-M 'C 1 2/c 1'
_symmetry_Int_Tables_number 15
loop_
_symmetry_equiv_pos_as_xyz
'x,y,z'
'-x,-y,-z'
'-x,y,-z+1/2'
'x,-y,z+1/2'
'x+1/2,y+1/2,z'
'-x+1/2,-y+1/2,-z'
'-x+1/2,y+1/2,-z+1/2'
'x+1/2,-y+1/2,z+1/2'
loop_
_atom_site_label
_atom_site_type_symbol
_atom_site_fract_x
_atom_site_fract_y
_atom_site_fract_z
La1 La 0.073 0.179 0.445
La2 La 0.097 0.400 0.620
La3 La 0.213 0.219 0.809
Sm1 Sm 0.000 0.020 0.750
Ho1 Ho 0.236 0.044 0.049
Th1 Th 0.000 0.405 0.250
# Calculated formation energy: 1.26 eV per formula unit

=====

Number 1: M_tot 0.0 μB/f.u.. Number 2: M_tot 4.5 μB/f.u.. Number 3: M_tot 0.0 μB/f.u.. Number 4: M_tot 0.0 μB/f.u.. Number 5: M_tot 0.0 μB/f.u.. Number 6: M_tot 2.3 μB/f.u.. Number 7: M_tot 0.0 μB/f.u.. Number 8: M_tot 0.0 μB/f.u..